Record 1
{"formula": "Sr4SnI3", "functional": "PBE-GGA", "state": "optimized geometry", "lattice_angstrom": [[8.470, 0.144, 0.000], [-2.880, 7.804, 0.000], [0.000, 0.000, 9.735]], "species": ["I", "I", "I", "I", "I", "I", "Sr", "Sr", "Sr", "Sr", "Sr", "Sr", "Sr", "Sr", "Sn", "Sn"], "fractional_positions": [[0.750, 0.000, 0.376], [0.250, 0.000, 0.624], [0.750, 0.500, 0.611], [0.750, 0.500, 0.137], [0.250, 0.500, 0.389], [0.250, 0.500, 0.863], [0.981, 0.233, 0.640], [0.500, 0.222, 0.894], [0.481, 0.233, 0.360], [0.000, 0.222, 0.106], [0.000, 0.778, 0.894], [0.519, 0.767, 0.640], [0.500, 0.778, 0.106], [0.019, 0.767, 0.360], [0.750, 0.000, 0.869], [0.250, 0.000, 0.131]], "formation_energy_uncorrected_ev_per_atom": -1.1194, "magnetic_moment_mub_per_cell": 0.00}

***

Record 2
{"formula": "SrSnI2", "functional": "PBE-GGA", "state": "optimized geometry", "lattice_angstrom": [[-3.669, 0.935, 2.046], [-1.807, -2.903, 2.613], [3.991, 3.429, 10.114]], "species": ["I", "I", "Sr", "Sn"], "fractional_positions": [[0.098, 0.098, 0.705], [0.902, 0.902, 0.295], [0.000, 0.000, 0.000], [0.500, 0.500, 0.500]], "polymorph_energy_ev_per_atom": 0.3170, "formation_energy_uncorrected_ev_per_atom": -0.3494, "magnetic_moment_mub_per_cell": 0.00}

***

Record 3
{"formula": "SrSn2I6", "functional": "PBE-GGA", "state": "optimized geometry", "lattice_angstrom": [[8.093, 0.000, 0.000], [4.047, 7.009, 0.000], [4.047, 2.336, 7.684]], "species": ["Sr", "Sn", "Sn", "I", "I", "I", "I", "I", "I"], "fractional_positions": [[0.337, 0.337, 0.988], [0.695, 0.695, 0.916], [0.516, 0.516, 0.452], [0.745, 0.430, 0.703], [0.122, 0.745, 0.703], [0.430, 0.122, 0.703], [0.289, 0.630, 0.179], [0.902, 0.289, 0.179], [0.630, 0.902, 0.179]], "polymorph_energy_ev_per_atom": 0.0281, "formation_energy_uncorrected_ev_per_atom": -0.8803, "magnetic_moment_mub_per_cell": 0.00}

***

Record 4
{"formula": "Sr2SnI", "functional": "PBE-GGA", "state": "optimized geometry", "lattice_angstrom": [[4.678, 0.000, 0.000], [2.339, 4.052, 0.000], [2.339, 1.351, 8.547]], "species": ["I", "Sr", "Sr", "Sn"], "fractional_positions": [[0.500, 0.500, 0.500], [0.259, 0.259, 0.224], [0.741, 0.741, 0.776], [0.000, 0.000, 0.000]], "polymorph_energy_ev_per_atom": 0.0000, "formation_energy_uncorrected_ev_per_atom": -0.9414, "magnetic_moment_mub_per_cell": 0.00}

***

Record 5
{"formula": "SrSnI", "functional": "PBE-GGA", "state": "optimized geometry", "lattice_angstrom": [[-3.685, -0.331, 2.281], [-1.268, -3.301, -2.528], [2.710, -9.385, 7.160]], "species": ["Sr", "Sr", "Sn", "Sn", "I", "I"], "fractional_positions": [[0.881, 0.881, 0.238], [0.119, 0.119, 0.762], [0.000, 0.500, 0.000], [0.500, 0.000, 0.000], [0.682, 0.682, 0.636], [0.318, 0.318, 0.364]], "formation_energy_uncorrected_ev_per_atom": -1.0390, "magnetic_moment_mub_per_cell": 0.00}

***

Record 6
{"formula": "SrSn3I", "functional": "PBE-GGA", "state": "optimized geometry", "lattice_angstrom": [[-2.973, 0.254, -5.503], [-0.894, -6.192, 0.197], [-5.436, 0.879, 2.977]], "species": ["I", "Sr", "Sn", "Sn", "Sn"], "fractional_positions": [[0.500, 0.500, 0.500], [0.000, 0.000, 0.000], [0.000, 0.500, 0.000], [0.000, 0.000, 0.500], [0.500, 0.000, 0.000]], "polymorph_energy_ev_per_atom": 0.4040, "formation_energy_uncorrected_ev_per_atom": 0.7518, "magnetic_moment_mub_per_cell": 2.13}

***

Record 7
{"formula": "Sr2Sn2I", "functional": "PBE-GGA", "state": "optimized geometry", "lattice_angstrom": [[-4.363, 8.070, -0.581], [-8.090, -4.341, 0.460], [0.062, 0.348, 4.373]], "species": ["I", "I", "Sr", "Sr", "Sr", "Sr", "Sn", "Sn", "Sn", "Sn"], "fractional_positions": [[0.000, 0.000, 0.000], [0.500, 0.500, 0.000], [0.189, 0.689, 0.500], [0.689, 0.811, 0.500], [0.811, 0.311, 0.500], [0.311, 0.189, 0.500], [0.395, 0.895, 0.000], [0.895, 0.605, 0.000], [0.605, 0.105, 0.000], [0.105, 0.395, 0.000]], "formation_energy_uncorrected_ev_per_atom": -0.6745, "magnetic_moment_mub_per_cell": 0.00}

***

Record 8
{"formula": "Sr2SnI", "functional": "PBE-GGA", "state": "optimized geometry", "lattice_angstrom": [[4.615, 0.000, 0.000], [2.307, 3.997, 0.000], [2.307, 1.332, 8.855]], "species": ["Sr", "Sr", "Sn", "I"], "fractional_positions": [[0.075, 0.075, 0.776], [0.260, 0.260, 0.219], [0.667, 0.667, 0.998], [0.498, 0.498, 0.507]], "polymorph_energy_ev_per_atom": 0.0330, "formation_energy_uncorrected_ev_per_atom": -0.9084, "magnetic_moment_mub_per_cell": 0.00}